Below is crystalline CoReIN2 at its relaxed geometry, with properties calculated at the PBE level.

- E above lowest polymorph: 1105 meV/atom
- D(E_F): 3.38 states/eV/f.u.
- Total magnetic moment: 0.71 Bohr magnetons per cell
- Calculated total energy: -5.57 eV/atom

a = 3.7881 Å, b = 3.7881 Å, c = 5.3497 Å
α = 90.00°, β = 90.00°, γ = 90.00°
Closest atoms and distances in Å follow each position.
Space group P4/mmm (No. 123)
Inequivalent atoms, fractional coordinates:
Co (0.0000, 0.0000, 0.0000) x1  4 N 1.89
Re (0.5000, 0.5000, 0.5000) x1  4 I 2.68
I (0.0000, 0.0000, 0.5000) x1  2 Co 2.67, 4 Re 2.68
N (0.0000, 0.5000, 0.0000) x2  2 Co 1.89

***

Below is crystalline LiLuInRu at its relaxed geometry, with properties calculated at the PBE level.

- D(E_F): 1.44 states/eV/f.u.
- DFT formation energy: -315 meV per atom
- Total magnetic moment: 0.00 Bohr magnetons per cell
- Calculated total energy: -4.93 eV/atom

a = 6.6475 Å, b = 6.6475 Å, c = 6.6475 Å
α = 90.00°, β = 90.00°, γ = 90.00°
Closest atoms and distances in Å follow each position.
Space group F-43m (No. 216)
Inequivalent atoms, fractional coordinates:
Li (0.0000, 0.0000, 0.0000) x4  4 In 2.88, 4 Lu 2.88
Lu (0.2500, 0.2500, 0.7500) x4  4 Li 2.88, 4 Ru 2.88
In (0.2500, 0.2500, 0.2500) x4  4 Ru 2.88, 4 Li 2.88
Ru (0.0000, 0.0000, 0.5000) x4  4 In 2.88, 4 Lu 2.88

***

Below is crystalline Sr2LaCr at its relaxed geometry, with properties calculated at the PBE level.

- E above lowest polymorph: 356 meV/atom
- D(E_F): 6.69 states/eV/f.u.
- DFT formation energy: 686 meV per atom
- Total magnetic moment: 15.09 Bohr magnetons per cell
- Calculated total energy: -3.79 eV/atom

a = 9.6016 Å, b = 9.6016 Å, c = 6.8564 Å
α = 90.00°, β = 90.00°, γ = 90.00°
Closest atoms and distances in Å follow each position.
Space group I-42d (No. 122)
Inequivalent atoms, fractional coordinates:
Sr (0.1927, 0.2500, 0.1250) x8  2 Cr 3.15
La (0.0000, 0.0000, 0.5000) x4  2 Cr 3.43
Cr (0.0000, 0.0000, 0.0000) x4  4 Sr 3.15, 2 La 3.43

***

Below is crystalline ScFeTc2Ni at its relaxed geometry, with properties calculated at the PBE level.

- D(E_F): 8.11 states/eV/f.u.
- DFT formation energy: 891 meV per atom
- Total magnetic moment: 3.59 Bohr magnetons per cell
- Calculated total energy: -7.37 eV/atom

a = 4.4910 Å, b = 4.4910 Å, c = 4.3081 Å
α = 90.00°, β = 90.00°, γ = 90.00°
Closest atoms and distances in Å follow each position.
Space group P4/mmm (No. 123)
Inequivalent atoms, fractional coordinates:
Sc (0.0000, 0.0000, 0.0000) x1  8 Tc 3.11, 4 Fe 3.18
Fe (0.5000, 0.5000, 0.0000) x1  2 Ni 2.15
Tc (0.0000, 0.5000, 0.5000) x2  2 Ni 2.25
Ni (0.5000, 0.5000, 0.5000) x1  2 Fe 2.15, 4 Tc 2.25

***

Q: Which formula does entry 2 have?
A: LiLuInRu

***

Q: Which value of calculated total energy does entry 4 give?
A: -7.37 eV/atom

***

Q: What is the calculated total energy in the second record?
A: -4.93 eV/atom

***

Q: D(E_F) of number 3 (Sr2LaCr)?
A: 6.69 states/eV/f.u.